Entry 1:
# PBE-GGA AcPr5S8, optimized geometry
# - VASP energy (eV per atom) = -6.39
data_AcPr5S8
_chemical_formula_sum 'Ac2 Pr10 S16'
_space_group_name_H-M_alt 'I -4'
_space_group_IT_number 82
_cell_length_a 8.704
_cell_length_b 8.704
_cell_length_c 8.787
_cell_angle_alpha 90.00
_cell_angle_beta 90.00
_cell_angle_gamma 90.00
loop_
_space_group_symop_operation_xyz
'x,y,z'
'y,-x,-z'
'-x,-y,z'
'-y,x,-z'
'x+1/2,y+1/2,z+1/2'
'y+1/2,-x+1/2,-z+1/2'
'-x+1/2,-y+1/2,z+1/2'
'-y+1/2,x+1/2,-z+1/2'
loop_
_atom_site_label
_atom_site_type_symbol
_atom_site_fract_x
_atom_site_fract_y
_atom_site_fract_z
Ac1 Ac 0.000 0.000 0.000
Pr1 Pr 0.000 0.500 0.250
Pr2 Pr 0.113 0.250 0.624
S1 S 0.074 0.179 0.303
S2 S 0.077 0.328 0.948

Entry 2:
# PBE-GGA Pu3PbAu, optimized geometry
# - formation energy (eV/atom) = -0.1298
data_Pu3PbAu
_chemical_formula_sum 'Pu9 Pb3 Au3'
_space_group_name_H-M_alt 'P m -3 m'
_space_group_IT_number 221
_space_group_name_Hall '-P 4 2 3'
_cell_length_a 7.400
_cell_length_b 7.400
_cell_length_c 7.400
_cell_angle_alpha 90.00
_cell_angle_beta 90.00
_cell_angle_gamma 90.00
loop_
_atom_site_label
_atom_site_type_symbol
_atom_site_fract_x
_atom_site_fract_y
_atom_site_fract_z
Pu1 Pu 0.000 0.000 0.000
Pu2 Pu 0.271 0.271 0.271
Pb1 Pb 0.000 0.000 0.500
Au1 Au 0.000 0.500 0.500

Entry 3:
# PBE-GGA Sr2PaBiO6, optimized geometry
# - VASP energy (eV per atom) = -7.28
data_Sr2PaBiO6
_chemical_formula_sum 'Sr2 Pa1 Bi1 O6'
_space_group_name_H-M_alt 'P 4 m m'
_space_group_IT_number 99
_cell_length_a 6.267
_cell_length_b 6.267
_cell_length_c 4.614
_cell_angle_alpha 90.00
_cell_angle_beta 90.00
_cell_angle_gamma 90.00
loop_
_space_group_symop_operation_xyz
'x,y,z'
'-y,x,z'
'-x,-y,z'
'y,-x,z'
'-x,y,z'
'y,x,z'
'x,-y,z'
'-y,-x,z'
loop_
_atom_site_label
_atom_site_type_symbol
_atom_site_fract_x
_atom_site_fract_y
_atom_site_fract_z
Sr1 Sr 0.000 0.500 0.000
Pa1 Pa 0.000 0.000 0.619
Bi1 Bi 0.500 0.500 0.605
O1 O 0.000 0.000 0.138
O2 O 0.238 0.238 0.685
O3 O 0.500 0.500 0.097

Entry 4:
# PBE-GGA CdSbPd2, optimized geometry
# - VASP energy (eV per atom) = -4.21
data_CdSbPd2
_chemical_formula_sum 'Cd1 Sb1 Pd2'
_space_group_name_H-M_alt 'P 4/m m m'
_space_group_IT_number 123
_space_group_name_Hall '-P 4 2'
_cell_length_a 4.660
_cell_length_b 4.660
_cell_length_c 3.389
_cell_angle_alpha 90.00
_cell_angle_beta 90.00
_cell_angle_gamma 90.00
loop_
_atom_site_label
_atom_site_type_symbol
_atom_site_fract_x
_atom_site_fract_y
_atom_site_fract_z
Cd1 Cd 0.000 0.000 0.000
Sb1 Sb 0.500 0.500 0.000
Pd1 Pd 0.000 0.500 0.500

Entry 5:
# PBE-GGA LiAcDySc, optimized geometry
# - formation energy (eV/atom) = 0.1654
data_LiAcDySc
_chemical_formula_sum 'Li4 Ac4 Dy4 Sc4'
_space_group_name_H-M_alt 'F -4 3 m'
_space_group_IT_number 216
_space_group_name_Hall 'F -4 2 3'
_cell_length_a 7.857
_cell_length_b 7.857
_cell_length_c 7.857
_cell_angle_alpha 90.00
_cell_angle_beta 90.00
_cell_angle_gamma 90.00
loop_
_atom_site_label
_atom_site_type_symbol
_atom_site_fract_x
_atom_site_fract_y
_atom_site_fract_z
Li1 Li 0.000 0.000 0.000
Ac1 Ac 0.250 0.250 0.750
Dy1 Dy 0.250 0.250 0.250
Sc1 Sc 0.000 0.000 0.500

Entry 6:
# PBE-GGA Er3Pd, optimized geometry
# - formation energy (eV/atom) = -0.4341
data_Er3Pd
_chemical_formula_sum 'Er6 Pd2'
_space_group_name_H-M_alt 'I m m m'
_space_group_IT_number 71
_space_group_name_Hall '-I 2 2'
_cell_length_a 3.641
_cell_length_b 5.273
_cell_length_c 10.814
_cell_angle_alpha 90.00
_cell_angle_beta 90.00
_cell_angle_gamma 90.00
loop_
_atom_site_label
_atom_site_type_symbol
_atom_site_fract_x
_atom_site_fract_y
_atom_site_fract_z
Er1 Er 0.000 0.000 0.000
Er2 Er 0.000 0.500 0.204
Pd1 Pd 0.000 0.000 0.500

Entry 7:
# PBE-GGA MnZn2Hg, optimized geometry
# - formation energy (eV/atom) = 0.2195
data_MnZn2Hg
_chemical_formula_sum 'Mn3 Zn6 Hg3'
_space_group_name_H-M_alt 'R -3 m'
_space_group_IT_number 166
_space_group_name_Hall '-R 3 2"'
_cell_length_a 2.9372
_cell_length_b 2.9372
_cell_length_c 27.9572
_cell_angle_alpha 90.00
_cell_angle_beta 90.00
_cell_angle_gamma 120.00
loop_
_atom_site_label
_atom_site_type_symbol
_atom_site_fract_x
_atom_site_fract_y
_atom_site_fract_z
Mn1 Mn 0.0000 0.0000 0.0000
Zn1 Zn 0.0000 0.0000 0.2604
Hg1 Hg 0.0000 0.0000 0.5000

Entry 8:
# PBE-GGA ErGa4Pd4, optimized geometry
# - formation energy (eV/atom) = -0.6074
data_ErGa4Pd4
_chemical_formula_sum 'Er2 Ga8 Pd8'
_space_group_name_H-M_alt 'P 42/n m c'
_space_group_IT_number 137
_cell_length_a 6.051
_cell_length_b 6.051
_cell_length_c 8.673
_cell_angle_alpha 90.00
_cell_angle_beta 90.00
_cell_angle_gamma 90.00
loop_
_space_group_symop_operation_xyz
'x,y,z'
'-x,-y,-z'
'-y+1/2,x,z+1/2'
'y+1/2,-x,-z+1/2'
'-x+1/2,-y+1/2,z'
'x+1/2,y+1/2,-z'
'y,-x+1/2,z+1/2'
'-y,x+1/2,-z+1/2'
'x+1/2,-y,-z'
'-x+1/2,y,z'
'-y,-x,-z+1/2'
'y,x,z+1/2'
'-x,y+1/2,-z'
'x,-y+1/2,z'
'y+1/2,x+1/2,-z+1/2'
'-y+1/2,-x+1/2,z+1/2'
loop_
_atom_site_label
_atom_site_type_symbol
_atom_site_fract_x
_atom_site_fract_y
_atom_site_fract_z
Er1 Er 0.250 0.750 0.250
Ga1 Ga 0.038 0.250 0.059
Pd1 Pd 0.022 0.250 0.354